(1)
KCo2PdPb: optimized geometry, PBE.

Lattice parameters (Å, degrees): 4.9189 6.1641 4.9189 90.00 90.00 90.00
With the nearest neighbours (Å) after each atom.
Positions (direct):
Pb 0.0000 0.0000 0.0000  4 Co 2.46
K 0.0000 0.5000 0.0000  2 Pb 3.08
Co 0.0000 0.0000 0.5000  2 Pb 2.46
Co 0.5000 0.0000 0.0000  2 Pb 2.46
Pd 0.5000 0.5000 0.5000  4 K 3.48

The density of states at the Fermi level comes out at 0.871 states/eV per atom. For the energy of formation, the calculation gives 1399 meV per atom. The calculation puts the magnetization at 3.25 μB per cell. The mass density is 5.2 g cm⁻³. The volume comes out at 149.1 Å³ per cell.


(2)
K2ScCoPb: optimized geometry, PBE.

Lattice parameters (Å, degrees): 6.6303 5.5843 6.6303 90.00 90.00 90.00
With the nearest neighbours (Å) after each atom.
Positions (direct):
Pb 0.0000 0.0000 0.0000  2 Sc 2.79
Sc 0.0000 0.5000 0.0000  2 Pb 2.79
K 0.0000 0.0000 0.5000  2 Pb 3.32
K 0.5000 0.0000 0.0000  2 Pb 3.32
Co 0.5000 0.5000 0.5000  8 K 4.33, 4 Sc 4.69

The density of states at the Fermi level comes out at 1.046 states/eV per atom. For the energy of formation, the calculation gives 1000 meV per atom. The calculation puts the magnetization at 2.01 μB per cell. The mass density is 2.6 g cm⁻³. The volume comes out at 245.5 Å³ per cell.


(3)
KScCo2Pb: optimized geometry, PBE.

Lattice parameters (Å, degrees): 4.5794 5.6956 4.5794 90.00 90.00 90.00
With the nearest neighbours (Å) after each atom.
Positions (direct):
Pb 0.0000 0.5000 0.0000  2 K 2.85
Sc 0.5000 0.5000 0.5000  4 Pb 3.24
K 0.0000 0.0000 0.0000  4 Co 2.29
Co 0.0000 0.0000 0.5000  2 K 2.29
Co 0.5000 0.0000 0.0000  2 K 2.29

The density of states at the Fermi level comes out at 1.415 states/eV per atom. For the energy of formation, the calculation gives 1718 meV per atom. The calculation puts the magnetization at 2.82 μB per cell. The mass density is 5.7 g cm⁻³. The volume comes out at 119.4 Å³ per cell.


(4)
K2CoSnPb: optimized geometry, PBE.

Lattice parameters (Å, degrees): 6.5397 4.8841 6.5397 90.00 90.00 90.00
With the nearest neighbours (Å) after each atom.
Positions (direct):
Pb 0.0000 0.0000 0.0000  2 Co 2.44
K 0.0000 0.0000 0.5000  2 Pb 3.27
K 0.5000 0.0000 0.0000  2 Pb 3.27
Co 0.0000 0.5000 0.0000  2 Pb 2.44
Sn 0.5000 0.5000 0.5000  8 K 4.08

The density of states at the Fermi level comes out at 0.613 states/eV per atom. For the energy of formation, the calculation gives 702 meV per atom. The calculation puts the magnetization at 0.70 μB per cell. The mass density is 3.7 g cm⁻³. The volume comes out at 208.9 Å³ per cell.


(5)
KZn2CoPb: optimized geometry, PBE.

Lattice parameters (Å, degrees): 4.8810 4.8810 4.9249 90.00 90.00 90.00
With the nearest neighbours (Å) after each atom.
Positions (direct):
Pb 0.0000 0.0000 0.5000  2 Co 2.46
Zn 0.0000 0.5000 0.0000  2 Co 2.44
Zn 0.5000 0.0000 0.0000  2 Co 2.44
Co 0.0000 0.0000 0.0000  4 Zn 2.44, 2 Pb 2.46
K 0.5000 0.5000 0.5000  4 Pb 3.45, 8 Zn 3.47

The density of states at the Fermi level comes out at 0.406 states/eV per atom. For the energy of formation, the calculation gives 81 meV per atom. The calculation puts the magnetization at 0.00 μB per cell. The mass density is 6.2 g cm⁻³. The volume comes out at 117.3 Å³ per cell.


(6)
KCo2Pd: optimized geometry, PBE.

Lattice parameters (Å, degrees): 4.6592 4.6592 9.3673 75.60 75.60 90.00
With the nearest neighbours (Å) after each atom.
Positions (direct):
K 0.5000 0.5000 0.0000  4 Pd 3.29, 8 Co 3.40-3.41
K 0.2500 0.7500 0.5000  4 Pd 3.29, 8 Co 3.40-3.41
Co 0.8748 0.1250 0.2500  2 Co 2.33, 2 Pd 2.48
Co 0.8752 0.6250 0.2500  2 Co 2.33, 2 Pd 2.48
Co 0.3750 0.1252 0.7500  2 Co 2.33, 2 Pd 2.48
Co 0.8750 0.1248 0.7500  2 Co 2.33, 2 Pd 2.48
Pd 0.0000 0.0000 0.0000  4 Co 2.48
Pd 0.7500 0.2500 0.5000  4 Co 2.48

The density of states at the Fermi level comes out at 1.436 states/eV per atom. For the energy of formation, the calculation gives 835 meV per atom. The calculation puts the magnetization at 8.18 μB per cell. The mass density is 4.6 g cm⁻³. The relative energy among the computed polymorphs comes out at 0 meV per atom. The volume comes out at 190.4 Å³ per cell.


(7)
KCo2Pd: optimized geometry, PBE.

Lattice parameters (Å, degrees): 4.5612 4.5612 4.5612 60.00 60.00 60.00
With the nearest neighbours (Å) after each atom.
Positions (direct):
K 0.0000 0.0000 0.0000  8 Co 2.79
Co 0.2500 0.2500 0.2500  4 Pd 2.79, 4 K 2.79
Co 0.7500 0.7500 0.7500  4 Pd 2.79, 4 K 2.79
Pd 0.5000 0.5000 0.5000  8 Co 2.79

The density of states at the Fermi level comes out at 2.800 states/eV per atom. For the energy of formation, the calculation gives 1082 meV per atom. The calculation puts the magnetization at 3.68 μB per cell. The mass density is 6.5 g cm⁻³. The relative energy among the computed polymorphs comes out at 247 meV per atom. The volume comes out at 67.1 Å³ per cell.


(8)
K2CoPd2: optimized geometry, PBE.

Lattice parameters (Å, degrees): 6.5168 6.5168 5.4466 90.00 90.00 90.00
With the nearest neighbours (Å) after each atom.
Positions (direct):
K 0.1787 0.6787 0.5000  6 Pd 3.17-3.45, 5 K 3.29-3.39
K 0.6787 0.8213 0.5000  6 Pd 3.17-3.45, 5 K 3.29-3.39
K 0.8213 0.3213 0.5000  6 Pd 3.17-3.45, 5 K 3.29-3.39
K 0.3213 0.1787 0.5000  6 Pd 3.17-3.45, 5 K 3.29-3.39
Co 0.0000 0.0000 0.0000  4 Pd 2.50
Co 0.5000 0.5000 0.0000  4 Pd 2.50
Pd 0.3548 0.8548 0.0000  2 Co 2.50, 1 Pd 2.68
Pd 0.8548 0.6452 0.0000  2 Co 2.50, 1 Pd 2.68
Pd 0.6452 0.1452 0.0000  2 Co 2.50, 1 Pd 2.68
Pd 0.1452 0.3548 0.0000  2 Co 2.50, 1 Pd 2.68

The density of states at the Fermi level comes out at 1.014 states/eV per atom. For the energy of formation, the calculation gives 334 meV per atom. The calculation puts the magnetization at 4.45 μB per cell. The mass density is 5.0 g cm⁻³. The volume comes out at 231.3 Å³ per cell.